(1)
First-principles (PBE) data for an optimized crystal structure of NbP2RuF, as listed in the Alexandria database.

Lattice parameters (Å, degrees): 4.411 4.411 5.104 90.00 90.00 90.00
Positions (direct):
Nb (0.000, 0.000, 0.000)
P (0.000, 0.500, 0.500)
P (0.500, 0.000, 0.500)
Ru (0.000, 0.000, 0.500)
F (0.500, 0.500, 0.000)

Properties
- final energy (eV for the cell shown) = -29.9
- uncorrected formation energy (eV per atom) = 0.425
- magnetization (μB per cell) = 0.00
- symmetry = No. 123

***

(2)
First-principles (PBE) data for an optimized crystal structure of Mn4CrC, as listed in the Alexandria database.

Lattice parameters (Å, degrees): 6.632 6.632 6.632 143.46 135.21 59.12
Positions (direct):
Mn (0.133, 0.374, 0.758)
Mn (0.185, 0.185, 0.000)
Mn (0.284, 0.000, 0.284)
Mn (0.384, 0.626, 0.758)
Mn (0.616, 0.374, 0.242)
Mn (0.716, 0.000, 0.716)
Mn (0.815, 0.815, 0.000)
Mn (0.867, 0.626, 0.242)
Cr (0.303, 0.803, 0.500)
Cr (0.697, 0.197, 0.500)
C (0.000, 0.321, 0.321)
C (0.000, 0.679, 0.679)

Properties
- final energy (eV for the cell shown) = -109.3
- magnetization (μB per cell) = 0.71
- symmetry = No. 71
- energy relative to the elements (eV per atom) = 0.147

***

(3)
First-principles (PBE) data for an optimized crystal structure of Li2CeTaN4, as listed in the Alexandria database.

Lattice parameters (Å, degrees): 5.146 5.146 5.146 117.58 117.58 94.25
Positions (direct):
Li (0.250, 0.750, 0.500)
Li (0.750, 0.250, 0.500)
Ce (0.000, 0.000, 0.000)
Ta (0.500, 0.500, 0.000)
N (0.133, 0.133, 0.554)
N (0.421, 0.867, 0.000)
N (0.579, 0.579, 0.446)
N (0.867, 0.421, 0.000)

Properties
- final energy (eV for the cell shown) = -61.4
- uncorrected formation energy (eV per atom) = -0.814
- magnetization (μB per cell) = 0.00
- symmetry = No. 121

***

(4)
First-principles (PBE) data for an optimized crystal structure of BaLaAlZn, as listed in the Alexandria database.

Lattice parameters (Å, degrees): 5.584 5.584 5.584 60.00 60.00 60.00
Positions (direct):
Ba (0.000, 0.000, 0.000)
La (0.500, 0.500, 0.500)
Al (0.750, 0.750, 0.750)
Zn (0.250, 0.250, 0.250)

Properties
- final energy (eV for the cell shown) = -12.4
- magnetization (μB per cell) = 0.00
- symmetry = No. 216
- energy relative to the elements (eV per atom) = -0.133